# Al2WO2 (PBE+U, optimized geometry)
data_Al2WO2
_cell_length_a 7.0909
_cell_length_b 7.0909
_cell_length_c 2.6022
_cell_angle_alpha 90.00
_cell_angle_beta 90.00
_cell_angle_gamma 90.00
_space_group_name_H-M_alt 'P 4/m b m'
_space_group_IT_number 127
_space_group_name_Hall '-P 4 2ab'
loop_
_atom_site_label
_atom_site_fract_x
_atom_site_fract_y
_atom_site_fract_z
Al1 0.1211 0.3789 0.0000
W1 0.0000 0.0000 0.0000
O1 0.1116 0.6116 0.5000
# N(E_F), states/eV/cell: 0.451
# Relative energy among the computed polymorphs, meV/atom: 1027
# E, eV/atom: -4.96